No. 1
{
  "formula": "Tb3Sm7Ho",
  "functional": "GGA-PBE",
  "state": "optimized geometry",
  "lattice": [[-0.269, -4.793, -3.388], [2.393, -2.107, 7.892], [-7.504, 1.355, 3.782]],
  "species": ["Ho", "Tb", "Tb", "Tb", "Sm", "Sm", "Sm", "Sm", "Sm", "Sm", "Sm"],
  "frac_coords": [[0.500, 0.500, 0.500], [0.000, 0.205, 0.795], [0.000, 0.795, 0.205], [0.500, 0.000, 0.000], [0.000, 0.500, 0.500], [0.695, 0.986, 0.402], [0.789, 0.790, 0.790], [0.305, 0.598, 0.014], [0.211, 0.210, 0.210], [0.305, 0.014, 0.598], [0.695, 0.402, 0.986]],
  "polymorph_energy_mev_per_atom": 119,
  "space_group": "C2/m",
  "magmom_total_mub_per_cell": 0.1,
  "e_tot_ev_per_atom": -4.44
}

No. 2
{
  "formula": "Tb6SmHo4",
  "functional": "GGA-PBE",
  "state": "optimized geometry",
  "lattice": [[-5.572, 4.741, 1.780], [-3.969, -5.733, 2.842], [7.543, 1.523, 3.631]],
  "species": ["Tb", "Tb", "Tb", "Tb", "Tb", "Tb", "Sm", "Ho", "Ho", "Ho", "Ho"],
  "frac_coords": [[0.500, 0.000, 0.000], [0.078, 0.078, 0.627], [0.922, 0.451, 0.373], [0.549, 0.549, 0.627], [0.451, 0.922, 0.373], [0.000, 0.500, 0.000], [0.500, 0.500, 0.000], [0.085, 0.757, 0.842], [0.915, 0.915, 0.158], [0.243, 0.243, 0.158], [0.757, 0.085, 0.842]],
  "polymorph_energy_mev_per_atom": 297,
  "space_group": "I-42m",
  "magmom_total_mub_per_cell": 0.0,
  "e_tot_ev_per_atom": -4.20
}

No. 3
{
  "formula": "Tb2Sm5Ho12",
  "functional": "GGA-PBE",
  "state": "optimized geometry",
  "lattice": [[9.022, 0.000, 0.000], [-4.511, 8.240, 3.266], [0.000, 0.594, 8.623]],
  "species": ["Ho", "Ho", "Ho", "Ho", "Ho", "Ho", "Ho", "Ho", "Ho", "Ho", "Ho", "Ho", "Sm", "Sm", "Sm", "Sm", "Sm", "Tb", "Tb"],
  "frac_coords": [[0.148, 0.744, 0.455], [0.669, 0.709, 0.904], [0.561, 0.122, 0.285], [0.331, 0.291, 0.096], [0.404, 0.256, 0.545], [0.596, 0.744, 0.455], [0.439, 0.878, 0.715], [0.960, 0.291, 0.096], [0.852, 0.256, 0.545], [0.955, 0.910, 0.182], [0.045, 0.090, 0.818], [0.040, 0.709, 0.904], [0.713, 0.426, 0.773], [0.287, 0.574, 0.227], [0.763, 0.526, 0.289], [0.237, 0.474, 0.711], [0.000, 0.000, 0.500], [0.328, 0.000, 0.000], [0.672, 0.000, 0.000]],
  "polymorph_energy_mev_per_atom": 204,
  "space_group": "C2/m",
  "magmom_total_mub_per_cell": 0.0,
  "e_tot_ev_per_atom": -4.40
}

No. 4
{
  "formula": "Tb2Sm2Ho3",
  "functional": "GGA-PBE",
  "state": "optimized geometry",
  "lattice": [[3.458, -0.725, 0.452], [-1.221, 11.178, -0.738], [0.908, -0.637, 6.065]],
  "species": ["Sm", "Sm", "Ho", "Ho", "Ho", "Tb", "Tb"],
  "frac_coords": [[0.859, 0.144, 0.571], [0.141, 0.856, 0.429], [0.000, 0.000, 0.000], [0.428, 0.571, 0.286], [0.572, 0.429, 0.714], [0.716, 0.288, 0.142], [0.284, 0.712, 0.858]],
  "polymorph_energy_mev_per_atom": 0,
  "space_group": "C2/m",
  "magmom_total_mub_per_cell": 0.0,
  "e_tot_ev_per_atom": -4.62
}

No. 5
{
  "formula": "Tb5Sm4Ho3",
  "functional": "GGA-PBE",
  "state": "optimized geometry",
  "lattice": [[-1.796, -4.925, -2.733], [4.095, -6.828, 3.219], [-9.354, -1.300, 2.093]],
  "species": ["Tb", "Tb", "Tb", "Tb", "Tb", "Ho", "Ho", "Ho", "Sm", "Sm", "Sm", "Sm"],
  "frac_coords": [[0.786, 0.542, 0.886], [0.371, 0.056, 0.202], [0.629, 0.944, 0.798], [0.214, 0.458, 0.114], [0.500, 0.500, 0.500], [0.478, 0.312, 0.732], [0.000, 0.500, 0.500], [0.522, 0.688, 0.268], [0.140, 0.778, 0.943], [0.835, 0.949, 0.380], [0.860, 0.222, 0.057], [0.165, 0.051, 0.620]],
  "polymorph_energy_mev_per_atom": 214,
  "space_group": "C2/m",
  "magmom_total_mub_per_cell": 0.4,
  "e_tot_ev_per_atom": -4.42
}

No. 6
{
  "formula": "Tb12SmHo2",
  "functional": "GGA-PBE",
  "state": "optimized geometry",
  "lattice": [[-3.361, 4.406, 3.645], [-1.225, -6.356, 1.445], [14.587, -1.224, 20.154]],
  "species": ["Tb", "Tb", "Tb", "Tb", "Tb", "Tb", "Tb", "Tb", "Tb", "Tb", "Tb", "Tb", "Tb", "Tb", "Tb", "Tb", "Tb", "Tb", "Tb", "Tb", "Tb", "Tb", "Tb", "Tb", "Sm", "Sm", "Ho", "Ho", "Ho", "Ho"],
  "frac_coords": [[0.398, 0.898, 0.134], [0.314, 0.814, 0.577], [0.591, 0.604, 0.202], [0.893, 0.393, 0.142], [0.335, 0.330, 0.555], [0.993, 0.002, 0.670], [0.396, 0.409, 0.798], [0.998, 0.007, 0.330], [0.444, 0.443, 0.074], [0.909, 0.896, 0.798], [0.830, 0.835, 0.555], [0.104, 0.091, 0.202], [0.502, 0.493, 0.670], [0.943, 0.944, 0.074], [0.607, 0.107, 0.858], [0.102, 0.602, 0.866], [0.670, 0.665, 0.445], [0.678, 0.178, 0.427], [0.557, 0.556, 0.926], [0.186, 0.686, 0.423], [0.507, 0.498, 0.330], [0.056, 0.057, 0.926], [0.165, 0.170, 0.445], [0.822, 0.322, 0.573], [0.502, 0.002, 0.997], [0.998, 0.498, 0.003], [0.049, 0.549, 0.273], [0.541, 0.041, 0.272], [0.451, 0.951, 0.727], [0.959, 0.459, 0.728]],
  "space_group": "C2/m",
  "magmom_total_mub_per_cell": 0.0,
  "e_tot_ev_per_atom": -4.52
}

No. 7
{
  "formula": "Tb4Sm2Ho",
  "functional": "GGA-PBE",
  "state": "optimized geometry",
  "lattice": [[-1.237, 2.280, 5.520], [-6.399, 0.459, -1.624], [-1.170, -11.462, 1.369]],
  "species": ["Tb", "Tb", "Tb", "Tb", "Tb", "Tb", "Tb", "Tb", "Sm", "Sm", "Sm", "Sm", "Ho", "Ho"],
  "frac_coords": [[0.351, 0.493, 0.712], [0.978, 0.250, 0.145], [0.649, 0.993, 0.288], [0.351, 0.007, 0.712], [0.649, 0.507, 0.288], [0.022, 0.750, 0.855], [0.151, 0.750, 0.445], [0.849, 0.250, 0.555], [0.713, 0.750, 0.572], [0.399, 0.250, 0.006], [0.601, 0.750, 0.994], [0.287, 0.250, 0.428], [0.854, 0.250, 0.842], [0.146, 0.750, 0.158]],
  "polymorph_energy_mev_per_atom": 39,
  "space_group": "P2_1/m",
  "magmom_total_mub_per_cell": 0.0,
  "e_tot_ev_per_atom": -4.51
}

No. 8
{
  "formula": "Tb12Sm2Ho5",
  "functional": "GGA-PBE",
  "state": "optimized geometry",
  "lattice": [[9.216, 0.000, 0.000], [-4.608, 11.385, -1.679], [0.000, -5.313, 6.694]],
  "species": ["Ho", "Ho", "Ho", "Ho", "Ho", "Tb", "Tb", "Tb", "Tb", "Tb", "Tb", "Tb", "Tb", "Tb", "Tb", "Tb", "Tb", "Sm", "Sm"],
  "frac_coords": [[0.231, 0.462, 0.889], [0.000, 0.000, 0.500], [0.698, 0.397, 0.384], [0.769, 0.538, 0.111], [0.302, 0.603, 0.616], [0.974, 0.310, 0.068], [0.909, 0.818, 0.700], [0.091, 0.182, 0.300], [0.559, 0.118, 0.785], [0.026, 0.690, 0.932], [0.434, 0.253, 0.594], [0.566, 0.747, 0.406], [0.336, 0.310, 0.068], [0.181, 0.747, 0.406], [0.441, 0.882, 0.215], [0.664, 0.690, 0.932], [0.819, 0.253, 0.594], [0.679, 0.000, 0.000], [0.321, 0.000, 0.000]],
  "polymorph_energy_mev_per_atom": 0,
  "space_group": "C2/m",
  "magmom_total_mub_per_cell": 0.0,
  "e_tot_ev_per_atom": -4.50
}